Compound: PrTlMo2O8
Source: Alexandria
Functional: PBE with a Hubbard U
Structure: relaxed

```
24
Lattice="-5.347 -3.063 1.789 2.564 -5.574 -1.880 3.729 -1.296 8.925" Properties=species:S:1:pos:R:3 pbc="T T T"
O 1.699 -4.398 0.142
O -3.441 -4.602 2.260
O -0.217 -3.871 8.710
O 1.338 -6.143 2.395
O 3.850 -6.996 6.557
O 0.244 -7.704 7.961
O -1.393 -6.350 3.505
O 3.389 -3.163 7.306
O -1.434 -3.428 3.947
O -0.929 -5.455 6.422
O 0.813 -3.099 6.036
O 2.916 -4.840 4.905
O -0.918 -7.254 0.821
O 1.297 -3.222 2.836
O 1.174 -7.196 5.291
O -0.824 -1.745 1.581
Mo 4.079 -3.759 5.754
Mo 2.214 -3.111 1.291
Mo 0.123 -2.503 7.589
Mo -1.742 -1.856 3.126
Tl -1.392 -4.319 -0.046
Tl 1.864 -0.648 4.463
Pr 0.000 0.000 0.000
Pr 0.473 -4.967 4.417
```

Values from the calculation:
Electronic total energy: -7.064 eV per atom